Below is a geometry-optimized YZnPd structure, with properties calculated at the PBE level.

## Properties
- SG: P-62m (189)
- Calculated formation energy: -0.742 eV/atom

Lattice parameters (Å, degrees): 3.8801 7.3108 7.3108 120.00 90.00 90.00
Last column: nearest neighbours and their distance in Å.
Fractional positions:
Zn 0.0000 0.2509 0.0000  4 Pd 2.67-2.79
Zn 0.0000 0.7491 0.7491  4 Pd 2.67-2.79
Zn 0.0000 0.0000 0.2509  4 Pd 2.67-2.79
Y 0.5000 0.5949 0.0000  5 Pd 2.95-2.96, 6 Zn 3.18-3.24
Y 0.5000 0.4051 0.4051  5 Pd 2.95-2.96, 6 Zn 3.18-3.24
Y 0.5000 0.0000 0.5949  5 Pd 2.95-2.96, 6 Zn 3.18-3.24
Pd 0.5000 0.0000 0.0000  6 Zn 2.67, 3 Y 2.96
Pd 0.0000 0.3333 0.6667  3 Zn 2.79, 6 Y 2.95
Pd 0.0000 0.6667 0.3333  3 Zn 2.79, 6 Y 2.95